{"formula": "CrAgAs2F", "functional": "PBE+U", "state": "optimized geometry", "sg": "P4/mmm", "total_energy_ry_per_atom": -0.254, "dos_ef_per_ev_atom": 0.9047, "lattice": [[4.973, 0.000, 0.000], [0.000, 4.973, 0.000], [0.000, 0.000, 4.091]], "species": ["Cr", "Ag", "As", "As", "F"], "frac_coords": [[0.000, 0.000, 0.000], [0.500, 0.500, 0.500], [0.000, 0.500, 0.500], [0.500, 0.000, 0.500], [0.500, 0.500, 0.000]]}